(1)
Compound: Dy4Y3Tl
Source: Alexandria
Functional: PBE
Structure: relaxed

Geometry as POSCAR:
```
Dy4Y3Tl
1.0
11.200 0.000 0.000
0.000 7.041 0.000
0.000 0.000 6.193
Dy Y Tl
8 6 2
Direct
0.000 0.123 0.000 Dy
0.000 0.870 0.467 Dy
0.237 0.874 0.821 Dy
0.263 0.126 0.321 Dy
0.500 0.130 0.967 Dy
0.500 0.877 0.500 Dy
0.737 0.126 0.321 Dy
0.763 0.874 0.821 Dy
0.000 0.369 0.467 Y
0.241 0.382 0.804 Y
0.259 0.618 0.304 Y
0.500 0.631 0.967 Y
0.741 0.618 0.304 Y
0.759 0.382 0.804 Y
0.000 0.620 0.983 Tl
0.500 0.380 0.483 Tl
```

Crystal system = orthorhombic
E_form = -0.0715 eV per atom

(2)
Compound: Dy7Y12Tl
Source: Alexandria
Functional: PBE
Structure: relaxed

Geometry as POSCAR:
```
Dy7Y12Tl
1.0
5.985 3.455 5.252
-5.985 3.455 5.252
0.000 -6.911 5.252
Dy Y Tl
7 12 1
Direct
0.000 0.000 0.000 Dy
0.107 0.353 0.426 Dy
0.353 0.426 0.107 Dy
0.426 0.107 0.353 Dy
0.574 0.893 0.647 Dy
0.647 0.574 0.893 Dy
0.893 0.647 0.574 Dy
0.001 0.641 0.112 Y
0.112 0.001 0.641 Y
0.243 0.748 0.363 Y
0.252 0.637 0.757 Y
0.359 0.888 0.999 Y
0.363 0.243 0.748 Y
0.637 0.757 0.252 Y
0.641 0.112 0.001 Y
0.748 0.363 0.243 Y
0.757 0.252 0.637 Y
0.888 0.999 0.359 Y
0.999 0.359 0.888 Y
0.500 0.500 0.500 Tl
```

Crystal system = trigonal
E_form = 0.1802 eV per atom

(3)
Compound: Dy4Y15Tl
Source: Alexandria
Functional: PBE
Structure: relaxed

Geometry as POSCAR:
```
Dy4Y15Tl
1.0
4.988 0.000 0.000
0.000 4.988 0.000
0.000 0.000 25.320
Dy Y Tl
4 15 1
Direct
0.000 0.000 0.101 Dy
0.000 0.000 0.302 Dy
0.000 0.000 0.698 Dy
0.000 0.000 0.899 Dy
0.000 0.500 0.000 Y
0.000 0.500 0.202 Y
0.000 0.500 0.403 Y
0.000 0.500 0.597 Y
0.000 0.500 0.798 Y
0.500 0.000 0.000 Y
0.500 0.000 0.202 Y
0.500 0.000 0.403 Y
0.500 0.000 0.597 Y
0.500 0.000 0.798 Y
0.500 0.500 0.101 Y
0.500 0.500 0.304 Y
0.500 0.500 0.500 Y
0.500 0.500 0.696 Y
0.500 0.500 0.899 Y
0.000 0.000 0.500 Tl
```

Crystal system = tetragonal
E_form = -0.0150 eV per atom

(4)
Compound: Dy4YTl
Source: Alexandria
Functional: PBE
Structure: relaxed

Geometry as POSCAR:
```
Dy4YTl
1.0
3.586 0.000 0.000
0.000 3.586 0.000
0.000 0.000 14.253
Dy Y Tl
4 1 1
Direct
0.000 0.000 0.149 Dy
0.000 0.000 0.851 Dy
0.500 0.500 0.324 Dy
0.500 0.500 0.676 Dy
0.000 0.000 0.500 Y
0.500 0.500 0.000 Tl
```

Crystal system = tetragonal
Energy above the lowest structure with this stoichiometry = 0 meV/atom
E_form = -0.1044 eV per atom

(5)
Compound: DyY2Tl
Source: Alexandria
Functional: PBE
Structure: relaxed

Geometry as POSCAR:
```
DyY2Tl
1.0
1.849 -6.472 0.000
1.849 6.472 0.000
0.000 0.000 10.112
Dy Y Tl
2 4 2
Direct
0.043 0.957 0.750 Dy
0.957 0.043 0.250 Dy
0.370 0.630 0.536 Y
0.370 0.630 0.964 Y
0.630 0.370 0.036 Y
0.630 0.370 0.464 Y
0.248 0.752 0.250 Tl
0.752 0.248 0.750 Tl
```

Crystal system = orthorhombic
Energy above the lowest structure with this stoichiometry = 16 meV/atom
E_form = -0.1862 eV per atom

(6)
Compound: Dy2YTl
Source: Alexandria
Functional: PBE
Structure: relaxed

Geometry as POSCAR:
```
Dy2YTl
1.0
0.000 3.871 3.871
3.871 0.000 3.871
3.871 3.871 0.000
Dy Y Tl
2 1 1
Direct
0.250 0.250 0.250 Dy
0.750 0.750 0.750 Dy
0.000 0.000 0.000 Y
0.500 0.500 0.500 Tl
```

Crystal system = cubic
Energy above the lowest structure with this stoichiometry = 184 meV/atom
E_form = -0.0139 eV per atom

(7)
Compound: Dy2Y4Tl
Source: Alexandria
Functional: PBE
Structure: relaxed

Geometry as POSCAR:
```
Dy2Y4Tl
1.0
5.645 0.000 0.000
0.000 6.787 0.000
-2.623 0.000 11.386
Dy Y Tl
4 8 2
Direct
0.029 0.250 0.476 Dy
0.294 0.750 0.065 Dy
0.706 0.250 0.935 Dy
0.971 0.750 0.524 Dy
0.162 0.010 0.792 Y
0.162 0.490 0.792 Y
0.268 0.250 0.083 Y
0.398 0.750 0.360 Y
0.602 0.250 0.640 Y
0.732 0.750 0.917 Y
0.838 0.510 0.208 Y
0.838 0.990 0.208 Y
0.469 0.250 0.353 Tl
0.531 0.750 0.647 Tl
```

Crystal system = monoclinic
E_form = -0.0097 eV per atom

(8)
Compound: Dy2Y2Tl3
Source: Alexandria
Functional: PBE
Structure: relaxed

Geometry as POSCAR:
```
Dy2Y2Tl3
1.0
3.803 0.000 0.000
-1.901 6.677 0.000
-0.005 -3.340 8.204
Dy Y Tl
2 2 3
Direct
0.124 0.247 0.318 Dy
0.876 0.753 0.682 Dy
0.387 0.773 0.055 Y
0.613 0.227 0.945 Y
0.194 0.389 0.718 Tl
0.500 0.000 0.500 Tl
0.806 0.611 0.282 Tl
```

Crystal system = triclinic
Energy above the lowest structure with this stoichiometry = 28 meV/atom
E_form = -0.2029 eV per atom

Going through the records in order, we get D(E_F) values of 10.30; 33.36; 26.01; 6.98; 5.18; 5.30; 11.15; 8.75 states/eV/f.u..